1.
# PaNiRu2 PBE relaxed
data_PaNiRu2
_chemical_formula_sum 'Pa1 Ni1 Ru2'
_symmetry_space_group_name_H-M 'P 4/m m m'
_symmetry_Int_Tables_number 123
_symmetry_space_group_name_Hall '-P 4 2'
_cell_length_a 4.044
_cell_length_b 4.044
_cell_length_c 3.884
_cell_angle_alpha 90.00
_cell_angle_beta 90.00
_cell_angle_gamma 90.00
loop_
_atom_site_label
_atom_site_type_symbol
_atom_site_fract_x
_atom_site_fract_y
_atom_site_fract_z
Pa1 Pa 0.000 0.000 0.000
Ni1 Ni 0.500 0.500 0.000
Ru1 Ru 0.000 0.500 0.500
# Formation enthalpy at 0 K (eV per atom): -0.4444
# Uncorrected energy (eV per formula unit): -35.61
# Volume (A^3/atom): 15.88

2.
# Zr2BeGe PBE relaxed
data_Zr2BeGe
_chemical_formula_sum 'Zr6 Be3 Ge3'
_symmetry_space_group_name_H-M 'R -3 m'
_symmetry_Int_Tables_number 166
_symmetry_space_group_name_Hall '-R 3 2"'
_cell_length_a 3.7586
_cell_length_b 3.7586
_cell_length_c 18.6961
_cell_angle_alpha 90.00
_cell_angle_beta 90.00
_cell_angle_gamma 120.00
loop_
_atom_site_label
_atom_site_type_symbol
_atom_site_fract_x
_atom_site_fract_y
_atom_site_fract_z
Zr1 Zr 0.0000 0.0000 0.2481
Be1 Be 0.0000 0.0000 0.5000
Ge1 Ge 0.0000 0.0000 0.0000
# Formation enthalpy at 0 K (eV per atom): -0.2288
# Uncorrected energy (eV per formula unit): -26.35
# Volume (A^3/atom): 19.06

3.
# Rb2MnI2Br2 PBE relaxed
data_Rb2MnI2Br2
_chemical_formula_sum 'Rb4 Mn2 I4 Br4'
_symmetry_space_group_name_H-M 'C 1 2/m 1'
_symmetry_Int_Tables_number 12
_cell_length_a 16.957
_cell_length_b 4.567
_cell_length_c 7.999
_cell_angle_alpha 90.00
_cell_angle_beta 118.14
_cell_angle_gamma 90.00
loop_
_symmetry_equiv_pos_as_xyz
'x,y,z'
'-x,-y,-z'
'-x,y,-z'
'x,-y,z'
'x+1/2,y+1/2,z'
'-x+1/2,-y+1/2,-z'
'-x+1/2,y+1/2,-z'
'x+1/2,-y+1/2,z'
loop_
_atom_site_label
_atom_site_type_symbol
_atom_site_fract_x
_atom_site_fract_y
_atom_site_fract_z
Rb1 Rb 0.159 0.000 0.160
Mn1 Mn 0.000 0.000 0.500
I1 I 0.001 0.500 0.751
Br1 Br 0.173 0.000 0.672
# Uncorrected energy (eV per formula unit): -25.62
# Volume (A^3/atom): 39.02
# ΔE_f (raw) (meV per atom): -1153

4.
# Sr3AlF PBE relaxed
data_Sr3AlF
_chemical_formula_sum 'Sr3 Al1 F1'
_symmetry_space_group_name_H-M 'P m -3 m'
_symmetry_Int_Tables_number 221
_symmetry_space_group_name_Hall '-P 4 2 3'
_cell_length_a 5.282
_cell_length_b 5.282
_cell_length_c 5.282
_cell_angle_alpha 90.00
_cell_angle_beta 90.00
_cell_angle_gamma 90.00
loop_
_atom_site_label
_atom_site_type_symbol
_atom_site_fract_x
_atom_site_fract_y
_atom_site_fract_z
Sr1 Sr 0.000 0.000 0.500
Al1 Al 0.500 0.500 0.500
F1 F 0.000 0.000 0.000
# Uncorrected energy (eV per formula unit): -16.11
# Volume (A^3/atom): 29.47
# ΔE_f (raw) (meV per atom): -1090
# Polymorph energy (0 for the lowest one) (meV per atom): 0.0

5.
# La3Mg2Al9 PBE relaxed
data_La3Mg2Al9
_chemical_formula_sum 'La6 Mg4 Al18'
_symmetry_space_group_name_H-M 'I m m m'
_symmetry_Int_Tables_number 71
_symmetry_space_group_name_Hall '-I 2 2'
_cell_length_a 4.475
_cell_length_b 10.192
_cell_length_c 13.520
_cell_angle_alpha 90.00
_cell_angle_beta 90.00
_cell_angle_gamma 90.00
loop_
_atom_site_label
_atom_site_type_symbol
_atom_site_fract_x
_atom_site_fract_y
_atom_site_fract_z
La1 La 0.000 0.000 0.000
La2 La 0.000 0.000 0.310
Mg1 Mg 0.000 0.206 0.500
Al1 Al 0.000 0.274 0.143
Al2 Al 0.000 0.369 0.336
Al3 Al 0.000 0.500 0.000
# Formation enthalpy at 0 K (eV per atom): -0.3664
# Uncorrected energy (eV per formula unit): -56.78
# Volume (A^3/atom): 22.02

6.
# Be3TlPd PBE relaxed
data_Be3TlPd
_chemical_formula_sum 'Be3 Tl1 Pd1'
_symmetry_space_group_name_H-M 'P m -3 m'
_symmetry_Int_Tables_number 221
_symmetry_space_group_name_Hall '-P 4 2 3'
_cell_length_a 4.365
_cell_length_b 4.365
_cell_length_c 4.365
_cell_angle_alpha 90.00
_cell_angle_beta 90.00
_cell_angle_gamma 90.00
loop_
_atom_site_label
_atom_site_type_symbol
_atom_site_fract_x
_atom_site_fract_y
_atom_site_fract_z
Be1 Be 0.000 0.000 0.500
Tl1 Tl 0.500 0.500 0.500
Pd1 Pd 0.000 0.000 0.000
# Formation enthalpy at 0 K (eV per atom): 0.4002
# Uncorrected energy (eV per formula unit): -16.74
# Volume (A^3/atom): 16.63
# Polymorph energy (0 for the lowest one) (meV per atom): 0.0

7.
# La2Pm2Sm3 PBE relaxed
data_La2Pm2Sm3
_chemical_formula_sum 'La4 Pm4 Sm6'
_symmetry_space_group_name_H-M 'P 1 21/c 1'
_symmetry_Int_Tables_number 14
_cell_length_a 6.662
_cell_length_b 10.625
_cell_length_c 7.106
_cell_angle_alpha 90.00
_cell_angle_beta 99.17
_cell_angle_gamma 90.00
loop_
_symmetry_equiv_pos_as_xyz
'x,y,z'
'-x,-y,-z'
'-x,y+1/2,-z+1/2'
'x,-y+1/2,z+1/2'
loop_
_atom_site_label
_atom_site_type_symbol
_atom_site_fract_x
_atom_site_fract_y
_atom_site_fract_z
La1 La 0.221 0.200 0.403
Pm1 Pm 0.237 0.707 0.898
Sm1 Sm 0.000 0.000 0.000
Sm2 Sm 0.435 0.000 0.760
# Formation enthalpy at 0 K (eV per atom): 0.1165
# Uncorrected energy (eV per formula unit): -32.70
# Volume (A^3/atom): 35.47
# Polymorph energy (0 for the lowest one) (meV per atom): 2.3

8.
# GaTe2S5 PBE relaxed
data_GaTe2S5
_chemical_formula_sum 'Ga2 Te4 S10'
_symmetry_space_group_name_H-M 'C 1 m 1'
_symmetry_Int_Tables_number 8
_cell_length_a 12.880
_cell_length_b 6.917
_cell_length_c 6.666
_cell_angle_alpha 90.00
_cell_angle_beta 102.25
_cell_angle_gamma 90.00
loop_
_symmetry_equiv_pos_as_xyz
'x,y,z'
'x,-y,z'
'x+1/2,y+1/2,z'
'x+1/2,-y+1/2,z'
loop_
_atom_site_label
_atom_site_type_symbol
_atom_site_fract_x
_atom_site_fract_y
_atom_site_fract_z
Ga1 Ga 0.000 0.000 0.000
Te1 Te 0.095 0.500 0.129
Te2 Te 0.499 0.500 0.503
S1 S 0.126 0.232 0.916
S2 S 0.365 0.500 0.699
S3 S 0.442 0.262 0.233
# Uncorrected energy (eV per formula unit): -30.15
# Volume (A^3/atom): 36.27
# ΔE_f (raw) (meV per atom): -25

9.
# Y5Cd24 PBE relaxed
data_Y5Cd24
_chemical_formula_sum 'Y10 Cd48'
_symmetry_space_group_name_H-M 'I -4 3 m'
_symmetry_Int_Tables_number 217
_symmetry_space_group_name_Hall 'I -4 2 3'
_cell_length_a 11.054
_cell_length_b 11.054
_cell_length_c 11.054
_cell_angle_alpha 90.00
_cell_angle_beta 90.00
_cell_angle_gamma 90.00
loop_
_atom_site_label
_atom_site_type_symbol
_atom_site_fract_x
_atom_site_fract_y
_atom_site_fract_z
Y1 Y 0.000 0.000 0.000
Y2 Y 0.192 0.192 0.808
Cd1 Cd 0.029 0.354 0.354
Cd2 Cd 0.089 0.089 0.280
# Formation enthalpy at 0 K (eV per atom): -0.1990
# Uncorrected energy (eV per formula unit): -60.05
# Volume (A^3/atom): 23.29

10.
# PrSb PBE relaxed
data_PrSb
_chemical_formula_sum 'Pr4 Sb4'
_symmetry_space_group_name_H-M 'C m c m'
_symmetry_Int_Tables_number 63
_symmetry_space_group_name_Hall '-C 2c 2'
_cell_length_a 4.302
_cell_length_b 12.112
_cell_length_c 4.865
_cell_angle_alpha 90.00
_cell_angle_beta 90.00
_cell_angle_gamma 90.00
loop_
_atom_site_label
_atom_site_type_symbol
_atom_site_fract_x
_atom_site_fract_y
_atom_site_fract_z
Pr1 Pr 0.000 0.125 0.250
Sb1 Sb 0.000 0.388 0.250
# Uncorrected energy (eV per formula unit): -11.02
# Volume (A^3/atom): 31.68
# ΔE_f (raw) (meV per atom): -1060

What did the eighth record say?
# GaTe2S5 PBE relaxed
data_GaTe2S5
_chemical_formula_sum 'Ga2 Te4 S10'
_symmetry_space_group_name_H-M 'C 1 m 1'
_symmetry_Int_Tables_number 8
_cell_length_a 12.880
_cell_length_b 6.917
_cell_length_c 6.666
_cell_angle_alpha 90.00
_cell_angle_beta 102.25
_cell_angle_gamma 90.00
loop_
_symmetry_equiv_pos_as_xyz
'x,y,z'
'x,-y,z'
'x+1/2,y+1/2,z'
'x+1/2,-y+1/2,z'
loop_
_atom_site_label
_atom_site_type_symbol
_atom_site_fract_x
_atom_site_fract_y
_atom_site_fract_z
Ga1 Ga 0.000 0.000 0.000
Te1 Te 0.095 0.500 0.129
Te2 Te 0.499 0.500 0.503
S1 S 0.126 0.232 0.916
S2 S 0.365 0.500 0.699
S3 S 0.442 0.262 0.233
# Uncorrected energy (eV per formula unit): -30.15
# Volume (A^3/atom): 36.27
# ΔE_f (raw) (meV per atom): -25

Question: What is the formula in the second record?
Answer: Zr2BeGe

Question: Among the records above, which one has the lowest volume?
Answer: PaNiRu2